# 1
This record from Alexandria via LeMat-Bulk describes crystalline AlCd3 at its relaxed geometry. The functional is PBE.

a b c (Å): 5.2352 5.2352 5.8114
angles (deg): 77.02 77.02 33.76
Closest atoms and distances in Å follow each position.
Element x y z (fractional)
Cd (0.7451, 0.7451, 0.7595)  3 Al 2.95-3.19, 7 Cd 3.04-3.20
Cd (0.2549, 0.2549, 0.2405)  3 Al 2.95-3.19, 7 Cd 3.04-3.20
Cd (0.5000, 0.5000, 0.5000)  8 Cd 3.04-3.17, 4 Al 3.28
Al (0.0000, 0.0000, 0.0000)  10 Cd 2.95-3.28, 2 Al 3.04

Energy relative to the elements, meV per atom: 87
Total moment, μB/cell: 0.00
Volume, Å³ per cell: 86.0

# 2
This record from Alexandria via LeMat-Bulk describes crystalline Sr2Ca2Pb at its relaxed geometry. The functional is PBE.

a b c (Å): 8.6653 8.6653 6.0374
angles (deg): 90.00 90.00 90.00
Closest atoms and distances in Å follow each position.
Element x y z (fractional)
Sr (0.3474, 0.8474, 0.0000)  2 Pb 3.29
Sr (0.6526, 0.1526, 0.0000)  2 Pb 3.29
Sr (0.8474, 0.6526, 0.0000)  2 Pb 3.29
Sr (0.1526, 0.3474, 0.0000)  2 Pb 3.29
Pb (0.5000, 0.5000, 0.0000)  4 Sr 3.29
Pb (0.0000, 0.0000, 0.0000)  4 Sr 3.29
Ca (0.8362, 0.3362, 0.5000)  6 Sr 3.76-4.08, 1 Ca 4.01
Ca (0.6638, 0.8362, 0.5000)  6 Sr 3.76-4.08, 1 Ca 4.01
Ca (0.3362, 0.1638, 0.5000)  6 Sr 3.76-4.08, 1 Ca 4.01
Ca (0.1638, 0.6638, 0.5000)  6 Sr 3.76-4.08, 1 Ca 4.01

Excess energy over the best structure of this formula in the dataset, meV/atom: 134
Energy relative to the elements, meV per atom: 10
Total moment, μB/cell: 0.47
Volume, Å³ per cell: 453.3

# 3
This record from Alexandria via LeMat-Bulk describes crystalline IrRu2Cl at its relaxed geometry. The functional is PBE.

a b c (Å): 2.8084 2.8084 9.1659
angles (deg): 90.00 90.00 121.44
Closest atoms and distances in Å follow each position.
Element x y z (fractional)
Ir (0.5000, 0.5000, 0.7643)  2 Ru 2.61, 6 Ir 2.75-2.81
Ru (0.0000, 0.0000, 0.0061)  2 Ir 2.61, 8 Ru 2.66-2.81
Ru (0.5000, 0.5000, 0.2541)  2 Cl 2.45, 2 Ru 2.66
Cl (0.0000, 0.0000, 0.4755)  2 Ru 2.45

Energy relative to the elements, uncorrected, eV per atom: 0.667
Excess energy over the best structure of this formula in the dataset, meV/atom: 269
Total moment, μB/cell: 1.23
Volume, Å³ per cell: 61.7

# 4
This record from Alexandria via LeMat-Bulk describes crystalline Ni3BI at its relaxed geometry. The functional is PBE.

a b c (Å): 4.6245 4.6245 4.6245
angles (deg): 90.00 90.00 90.00
Closest atoms and distances in Å follow each position.
Element x y z (fractional)
Ni (0.5000, 0.0000, 0.0000)  2 I 2.31
Ni (0.0000, 0.0000, 0.5000)  2 I 2.31
Ni (0.0000, 0.5000, 0.0000)  2 I 2.31
I (0.0000, 0.0000, 0.0000)  6 Ni 2.31
B (0.5000, 0.5000, 0.5000)  12 Ni 3.27

Energy relative to the elements, uncorrected, eV per atom: 1.807
Excess energy over the best structure of this formula in the dataset, meV/atom: 1507
Total moment, μB/cell: 0.00
Volume, Å³ per cell: 98.9

# 5
This record from Alexandria via LeMat-Bulk describes crystalline Ac8SmEr2 at its relaxed geometry. The functional is PBE.

a b c (Å): 6.2276 9.0782 9.0782
angles (deg): 84.87 80.55 80.55
Closest atoms and distances in Å follow each position.
Element x y z (fractional)
Ac (0.1910, 0.3656, 0.8578)  2 Er 3.46-3.87, 1 Ac 3.72, 1 Sm 3.76
Ac (0.8090, 0.1422, 0.6344)  2 Er 3.46-3.87, 1 Ac 3.72, 1 Sm 3.76
Ac (0.1910, 0.8578, 0.3656)  2 Er 3.46-3.87, 1 Ac 3.72, 1 Sm 3.76
Ac (0.7077, 0.5798, 0.5798)  1 Er 3.47, 3 Ac 3.65-3.79
Ac (0.2923, 0.4202, 0.4202)  1 Er 3.47, 3 Ac 3.65-3.79
Ac (0.8090, 0.6344, 0.1422)  2 Er 3.46-3.87, 1 Ac 3.72, 1 Sm 3.76
Ac (0.5040, 0.8570, 0.8570)  1 Sm 3.29, 2 Er 3.38-3.57, 1 Ac 3.65
Ac (0.4960, 0.1430, 0.1430)  1 Sm 3.29, 2 Er 3.38-3.57, 1 Ac 3.65
Er (0.0780, 0.7390, 0.7390)  5 Ac 3.38-3.57, 1 Sm 3.42
Er (0.9220, 0.2610, 0.2610)  5 Ac 3.38-3.57, 1 Sm 3.42
Sm (0.0000, 0.0000, 0.0000)  2 Ac 3.29, 2 Er 3.42

Energy relative to the elements, meV per atom: 360
Total moment, μB/cell: 0.00
Volume, Å³ per cell: 498.4

# 6
This record from Alexandria via LeMat-Bulk describes crystalline H5RuPb2 at its relaxed geometry. The functional is PBE.

a b c (Å): 5.0700 5.2559 5.2661
angles (deg): 58.96 61.32 61.26
Closest atoms and distances in Å follow each position.
Element x y z (fractional)
Pb (0.2609, 0.2393, 0.2392)  10 H 2.57-2.70
Pb (0.7589, 0.7412, 0.7411)  10 H 2.56-2.68
Ru (0.9915, 0.0082, 0.0086)  5 H 1.65-1.72
H (0.2392, 0.2359, 0.7631)  1 Ru 1.72
H (0.2398, 0.7622, 0.2356)  1 Ru 1.72
H (0.2084, 0.7926, 0.7913)  1 Ru 1.65
H (0.7619, 0.2355, 0.7628)  1 Ru 1.72
H (0.7625, 0.7619, 0.2353)  1 Ru 1.72

Calculated total energy, eV per cell: -32.4
Total moment, μB/cell: 0.00
Volume, Å³ per cell: 100.3